# 1
# HfReNi2W

A crystal of HfReNi2W relaxed with PBEsol (meta-GGA SCAN, the Alexandria database).

Output
Raw total energy in eV/cell: -225.147
Density in g cm⁻³: 12.71
Volume in Å³ per atom: 17.40

abc: 4.2309 4.2309 4.8591
angles: 90.00 90.00 90.00
With the nearest neighbours (Å) after each atom.
Fractional positions:
W: 0.0000 0.0000 0.5000  2 Hf 2.43
Ni: 0.5000 0.0000 0.0000  2 Hf 2.12
Hf: 0.0000 0.0000 0.0000  4 Ni 2.12
Ni: 0.0000 0.5000 0.0000  2 Hf 2.12
Re: 0.5000 0.5000 0.5000  4 W 2.99, 8 Ni 3.22

***

# 2
# NaPmAu2

A crystal of NaPmAu2 relaxed with PBEsol (meta-GGA SCAN, the Alexandria database).

Output
Raw total energy in eV/cell: -189.583
Density in g cm⁻³: 10.71
Volume in Å³ per atom: 21.79

abc: 4.9765 4.9765 4.9765
angles: 60.00 60.00 60.00
With the nearest neighbours (Å) after each atom.
Fractional positions:
Au: 0.2500 0.2500 0.2500  4 Na 3.05, 4 Pm 3.05
Pm: 0.0000 0.0000 0.0000  8 Au 3.05
Au: 0.7500 0.7500 0.7500  4 Na 3.05, 4 Pm 3.05
Na: 0.5000 0.5000 0.5000  8 Au 3.05